# 1
The following is a PBE-GGA calculation of a relaxed structure of Tb4Ho5Er3, from Alexandria via LeMat-Bulk.

Unit cell a=6.100 b=7.050 c=8.621 alpha=90.02 beta=90.07 gamma=90.12
Space group P-1 (No. 2)
Unique sites:
Tb 0.166 0.249 0.167 [2 per cell]
Tb 0.333 0.500 0.833 [2 per cell]
Ho 0.000 0.500 0.500 [1 per cell]
Ho 0.333 0.000 0.833 [2 per cell]
Ho 0.499 0.751 0.500 [2 per cell]
Er 0.000 0.000 0.500 [1 per cell]
Er 0.167 0.750 0.167 [2 per cell]

Crystal system: triclinic
Formation enthalpy at 0 K: 0.02 eV per atom
M_tot: 0.00 Bohr magnetons per cell
Energy relative to the lowest polymorph listed for this composition: 0.0 meV per atom

# 2
The following is a PBE-GGA calculation of a relaxed structure of Tb4Ho4Er3, from Alexandria via LeMat-Bulk.

Unit cell a=3.491 b=5.547 c=17.914 alpha=81.12 beta=84.42 gamma=90.00
Space group P-1 (No. 2)
Unique sites:
Tb 0.046 0.045 0.408 [2 per cell]
Tb 0.180 0.680 0.140 [2 per cell]
Ho 0.090 0.590 0.319 [2 per cell]
Ho 0.233 0.233 0.034 [2 per cell]
Er 0.364 0.864 0.773 [2 per cell]
Er 0.500 0.500 0.500 [1 per cell]

Crystal system: triclinic
Formation enthalpy at 0 K: 0.06 eV per atom
M_tot: 0.00 Bohr magnetons per cell
Energy relative to the lowest polymorph listed for this composition: 0.0 meV per atom

# 3
The following is a PBE-GGA calculation of a relaxed structure of Tb4Ho8Er, from Alexandria via LeMat-Bulk.

Unit cell a=7.2502 b=7.2502 c=26.9329 alpha=90.00 beta=90.00 gamma=120.00
Space group R-3m (No. 166, hexagonal axes)
Unique sites:
Tb 0.0000 0.0000 0.0000 [3 per cell]
Tb 0.0000 0.5000 0.5000 [9 per cell]
Ho 0.0000 0.0000 0.2834 [6 per cell]
Ho 0.0378 0.5189 0.2681 [18 per cell]
Er 0.0000 0.0000 0.5000 [3 per cell]

Crystal system: trigonal
Formation enthalpy at 0 K: 0.21 eV per atom
M_tot: 0.00 Bohr magnetons per cell
Energy relative to the lowest polymorph listed for this composition: 0.0 meV per atom

# 4
The following is a PBE-GGA calculation of a relaxed structure of Tb8HoEr6, from Alexandria via LeMat-Bulk.

Unit cell a=9.7627 b=9.7627 c=5.7662 alpha=90.00 beta=90.00 gamma=120.00
Space group P-3 (No. 147)
Unique sites:
Tb 0.0911 0.4664 0.2656 [6 per cell]
Tb 0.3333 0.6667 0.7758 [2 per cell]
Ho 0.0000 0.0000 0.5000 [1 per cell]
Er 0.0499 0.2737 0.7783 [6 per cell]

Crystal system: trigonal
Formation enthalpy at 0 K: 0.17 eV per atom
M_tot: 0.00 Bohr magnetons per cell
Energy relative to the lowest polymorph listed for this composition: 41.7 meV per atom

# 5
The following is a PBE-GGA calculation of a relaxed structure of Tb5Ho6Er2, from Alexandria via LeMat-Bulk.

Unit cell a=11.528 b=20.130 c=3.545 alpha=90.00 beta=90.00 gamma=90.00
Space group Pbam (No. 55)
Unique sites:
Tb 0.000 0.000 0.000 [2 per cell]
Tb 0.087 0.273 0.000 [4 per cell]
Tb 0.199 0.550 0.000 [4 per cell]
Ho 0.059 0.419 0.500 [4 per cell]
Ho 0.082 0.131 0.500 [4 per cell]
Ho 0.174 0.863 0.000 [4 per cell]
Er 0.169 0.710 0.500 [4 per cell]

Crystal system: orthorhombic
Formation enthalpy at 0 K: 0.10 eV per atom
M_tot: 0.00 Bohr magnetons per cell

# 6
The following is a PBE-GGA calculation of a relaxed structure of Tb3Ho3Er2, from Alexandria via LeMat-Bulk.

Unit cell a=15.994 b=5.660 c=5.955 alpha=90.00 beta=111.46 gamma=90.00
Space group C2/m (No. 12)
Unique sites:
Tb 0.000 0.000 0.000 [2 per cell]
Tb 0.133 0.000 0.692 [4 per cell]
Ho 0.000 0.500 0.500 [2 per cell]
Ho 0.132 0.500 0.076 [4 per cell]
Er 0.250 0.000 0.318 [4 per cell]

Crystal system: monoclinic
Formation enthalpy at 0 K: 0.10 eV per atom
M_tot: 0.00 Bohr magnetons per cell
Energy relative to the lowest polymorph listed for this composition: 75.7 meV per atom

# 7
The following is a PBE-GGA calculation of a relaxed structure of TbHo8Er2, from Alexandria via LeMat-Bulk.

Unit cell a=18.841 b=6.864 c=5.502 alpha=90.00 beta=92.91 gamma=90.00
Space group C2/m (No. 12)
Unique sites:
Tb 0.000 0.000 0.000 [2 per cell]
Ho 0.047 0.500 0.236 [4 per cell]
Ho 0.132 0.266 0.732 [8 per cell]
Ho 0.188 0.000 0.232 [4 per cell]
Er 0.216 0.500 0.251 [4 per cell]

Crystal system: monoclinic
Formation enthalpy at 0 K: 0.16 eV per atom
M_tot: 0.00 Bohr magnetons per cell
Energy relative to the lowest polymorph listed for this composition: 0.0 meV per atom

# 8
The following is a PBE-GGA calculation of a relaxed structure of Tb2Ho7Er2, from Alexandria via LeMat-Bulk.

Unit cell a=11.050 b=11.407 c=5.988 alpha=90.00 beta=113.23 gamma=90.00
Space group C2/m (No. 12)
Unique sites:
Tb 0.000 0.216 0.000 [4 per cell]
Ho 0.000 0.000 0.500 [2 per cell]
Ho 0.174 0.236 0.675 [8 per cell]
Ho 0.232 0.000 0.084 [4 per cell]
Er 0.090 0.500 0.304 [4 per cell]

Crystal system: monoclinic
Formation enthalpy at 0 K: 0.16 eV per atom
M_tot: 0.00 Bohr magnetons per cell
Energy relative to the lowest polymorph listed for this composition: 47.7 meV per atom

# 9
The following is a PBE-GGA calculation of a relaxed structure of Tb2Ho7Er3, from Alexandria via LeMat-Bulk.

Unit cell a=5.632 b=37.254 c=3.564 alpha=90.00 beta=90.00 gamma=90.00
Space group Cmmm (No. 65)
Unique sites:
Tb 0.000 0.148 0.000 [4 per cell]
Ho 0.000 0.000 0.000 [2 per cell]
Ho 0.000 0.072 0.500 [4 per cell]
Ho 0.000 0.231 0.000 [4 per cell]
Ho 0.000 0.409 0.000 [4 per cell]
Er 0.000 0.315 0.500 [4 per cell]
Er 0.000 0.500 0.500 [2 per cell]

Crystal system: orthorhombic
Formation enthalpy at 0 K: 0.11 eV per atom
M_tot: 0.00 Bohr magnetons per cell
Energy relative to the lowest polymorph listed for this composition: 36.0 meV per atom

# 10
The following is a PBE-GGA calculation of a relaxed structure of Tb6Ho5Er, from Alexandria via LeMat-Bulk.

Unit cell a=4.989 b=9.987 c=15.007 alpha=90.00 beta=90.00 gamma=90.00
Space group Immm (No. 71)
Unique sites:
Tb 0.000 0.250 0.000 [4 per cell]
Tb 0.000 0.250 0.333 [8 per cell]
Ho 0.000 0.000 0.167 [4 per cell]
Ho 0.000 0.000 0.500 [2 per cell]
Ho 0.000 0.500 0.167 [4 per cell]
Er 0.000 0.500 0.500 [2 per cell]

Crystal system: orthorhombic
Formation enthalpy at 0 K: 0.02 eV per atom
M_tot: 0.00 Bohr magnetons per cell

# 11
The following is a PBE-GGA calculation of a relaxed structure of Tb2Ho3Er8, from Alexandria via LeMat-Bulk.

Unit cell a=20.218 b=7.511 c=5.520 alpha=90.00 beta=90.02 gamma=90.00
Space group C2/m (No. 12)
Unique sites:
Tb 0.241 0.000 0.000 [4 per cell]
Ho 0.000 0.000 0.000 [2 per cell]
Ho 0.000 0.284 0.500 [4 per cell]
Er 0.109 0.287 0.000 [8 per cell]
Er 0.132 0.000 0.500 [4 per cell]
Er 0.165 0.500 0.500 [4 per cell]

Crystal system: monoclinic
Formation enthalpy at 0 K: 0.25 eV per atom
M_tot: 0.00 Bohr magnetons per cell
Energy relative to the lowest polymorph listed for this composition: 16.9 meV per atom

# 12
The following is a PBE-GGA calculation of a relaxed structure of TbHo2Er3, from Alexandria via LeMat-Bulk.

Unit cell a=21.724 b=3.598 c=11.117 alpha=90.00 beta=120.78 gamma=90.00
Space group C2/m (No. 12)
Unique sites:
Tb 0.111 0.000 0.486 [4 per cell]
Ho 0.056 0.500 0.682 [4 per cell]
Ho 0.223 0.000 0.848 [4 per cell]
Er 0.055 0.500 0.179 [4 per cell]
Er 0.111 0.000 0.987 [4 per cell]
Er 0.222 0.000 0.347 [4 per cell]

Crystal system: monoclinic
Formation enthalpy at 0 K: 0.00 eV per atom
M_tot: 0.00 Bohr magnetons per cell
Energy relative to the lowest polymorph listed for this composition: 0.0 meV per atom

# 13
The following is a PBE-GGA calculation of a relaxed structure of Tb5Ho2Er2, from Alexandria via LeMat-Bulk.

Unit cell a=14.905 b=12.667 c=6.076 alpha=90.00 beta=90.00 gamma=90.00
Space group Ima2 (No. 46)
Unique sites:
Tb 0.048 0.201 0.000 [8 per cell]
Tb 0.143 0.688 0.831 [8 per cell]
Tb 0.250 0.182 0.747 [4 per cell]
Ho 0.000 0.000 0.403 [4 per cell]
Ho 0.250 0.052 0.283 [4 per cell]
Er 0.135 0.548 0.341 [8 per cell]

Crystal system: orthorhombic
Formation enthalpy at 0 K: 0.19 eV per atom
M_tot: 0.00 Bohr magnetons per cell
Energy relative to the lowest polymorph listed for this composition: 169.9 meV per atom

# 14
The following is a PBE-GGA calculation of a relaxed structure of Tb7HoEr5, from Alexandria via LeMat-Bulk.

Unit cell a=6.614 b=11.158 c=11.440 alpha=90.00 beta=90.00 gamma=90.00
Space group Imm2 (No. 44)
Unique sites:
Tb 0.000 0.000 0.000 [2 per cell]
Tb 0.000 0.000 0.307 [2 per cell]
Tb 0.000 0.328 0.253 [4 per cell]
Tb 0.000 0.328 0.751 [4 per cell]
Tb 0.000 0.500 0.002 [2 per cell]
Ho 0.000 0.000 0.693 [2 per cell]
Er 0.000 0.500 0.502 [2 per cell]
Er 0.234 0.228 0.502 [8 per cell]

Crystal system: orthorhombic
Formation enthalpy at 0 K: 0.26 eV per atom
M_tot: 0.00 Bohr magnetons per cell
Energy relative to the lowest polymorph listed for this composition: 2.8 meV per atom

# 15
The following is a PBE-GGA calculation of a relaxed structure of Tb5Ho3Er4, from Alexandria via LeMat-Bulk.

Unit cell a=6.103 b=7.054 c=8.624 alpha=90.03 beta=90.06 gamma=90.13
Space group P-1 (No. 2)
Unique sites:
Tb 0.000 0.000 0.000 [1 per cell]
Tb 0.333 0.500 0.334 [2 per cell]
Tb 0.500 0.249 0.000 [2 per cell]
Ho 0.000 0.500 0.000 [1 per cell]
Ho 0.166 0.249 0.666 [2 per cell]
Er 0.167 0.751 0.666 [2 per cell]
Er 0.334 0.000 0.334 [2 per cell]

Crystal system: triclinic
Formation enthalpy at 0 K: 0.02 eV per atom
M_tot: 0.00 Bohr magnetons per cell
Energy relative to the lowest polymorph listed for this composition: 0.0 meV per atom

# 16
The following is a PBE-GGA calculation of a relaxed structure of TbHo2Er9, from Alexandria via LeMat-Bulk.

Unit cell a=11.0800 b=11.0800 c=3.4640 alpha=90.00 beta=90.00 gamma=120.00
Space group P6/mmm (No. 191)
Unique sites:
Tb 0.0000 0.0000 0.0000 [1 per cell]
Ho 0.3333 0.6667 0.0000 [2 per cell]
Er 0.0000 0.5000 0.0000 [3 per cell]
Er 0.1769 0.3539 0.5000 [6 per cell]

Crystal system: hexagonal
Formation enthalpy at 0 K: 0.05 eV per atom
M_tot: 0.00 Bohr magnetons per cell
Energy relative to the lowest polymorph listed for this composition: 29.0 meV per atom

# 17
The following is a PBE-GGA calculation of a relaxed structure of Tb19Ho6Er4, from Alexandria via LeMat-Bulk.

Unit cell a=12.396 b=12.396 c=12.396 alpha=90.00 beta=90.00 gamma=90.00
Space group I23 (No. 197)
Unique sites:
Tb 0.000 0.000 0.000 [2 per cell]
Tb 0.000 0.000 0.261 [12 per cell]
Tb 0.063 0.262 0.279 [24 per cell]
Ho 0.000 0.373 0.500 [12 per cell]
Er 0.179 0.179 0.821 [8 per cell]

Crystal system: cubic
Formation enthalpy at 0 K: 0.39 eV per atom
M_tot: 0.01 Bohr magnetons per cell

# 18
The following is a PBE-GGA calculation of a relaxed structure of TbHo12Er7, from Alexandria via LeMat-Bulk.

Unit cell a=12.6808 b=12.6808 c=13.5051 alpha=90.00 beta=90.00 gamma=120.00
Space group R-3 (No. 148, hexagonal axes)
Unique sites:
Tb 0.0000 0.0000 0.0000 [3 per cell]
Ho 0.0010 0.4366 0.2491 [18 per cell]
Ho 0.0686 0.1995 0.3464 [18 per cell]
Er 0.0000 0.0000 0.5000 [3 per cell]
Er 0.0687 0.8682 0.8490 [18 per cell]

Crystal system: trigonal
Formation enthalpy at 0 K: 0.31 eV per atom
M_tot: 0.00 Bohr magnetons per cell
Energy relative to the lowest polymorph listed for this composition: 0.0 meV per atom

# 19
The following is a PBE-GGA calculation of a relaxed structure of Tb3Ho4Er5, from Alexandria via LeMat-Bulk.

Unit cell a=6.089 b=7.039 c=8.609 alpha=89.99 beta=89.90 gamma=89.90
Space group P-1 (No. 2)
Unique sites:
Tb 0.000 0.000 0.000 [1 per cell]
Tb 0.167 0.250 0.333 [2 per cell]
Ho 0.167 0.750 0.333 [2 per cell]
Ho 0.333 0.500 0.667 [2 per cell]
Er 0.000 0.500 0.000 [1 per cell]
Er 0.334 0.000 0.667 [2 per cell]
Er 0.500 0.250 0.000 [2 per cell]

Crystal system: triclinic
Formation enthalpy at 0 K: 0.02 eV per atom
M_tot: 0.00 Bohr magnetons per cell
Energy relative to the lowest polymorph listed for this composition: 0.0 meV per atom